(1)
A relaxed structure of Na2Zn2Ag5Sn, computed with PBE-GGA.

```
data_Na2Zn2Ag5Sn
_chemical_formula_sum 'Na4 Zn4 Ag10 Sn2'
_symmetry_space_group_name_H-M 'P 4/m b m'
_symmetry_Int_Tables_number 127
_symmetry_space_group_name_Hall '-P 4 2ab'
_cell_length_a 9.8452
_cell_length_b 9.8452
_cell_length_c 4.1923
_cell_angle_alpha 90.00
_cell_angle_beta 90.00
_cell_angle_gamma 90.00
loop_
_atom_site_label
_atom_site_fract_x
_atom_site_fract_y
_atom_site_fract_z
_atom_site_occupancy
Na1 0.1792 0.3208 0.0000 1
Zn1 0.1158 0.6158 0.0000 1
Ag1 0.0000 0.5000 0.5000 1
Ag2 0.0680 0.7915 0.5000 1
Sn1 0.0000 0.0000 0.0000 1
```

Properties
Its total energy is -47.58 eV for the cell shown. For the size of the total moment, the calculation gives 0.0 μB/cell. The calculation puts the formation energy at -0.35 eV per formula unit.


(2)
A relaxed structure of NdSmHgGe, computed with PBE-GGA.

```
data_NdSmHgGe
_chemical_formula_sum 'Nd4 Sm4 Hg4 Ge4'
_symmetry_space_group_name_H-M 'F -4 3 m'
_symmetry_Int_Tables_number 216
_symmetry_space_group_name_Hall 'F -4 2 3'
_cell_length_a 7.4709
_cell_length_b 7.4709
_cell_length_c 7.4709
_cell_angle_alpha 90.00
_cell_angle_beta 90.00
_cell_angle_gamma 90.00
loop_
_atom_site_label
_atom_site_fract_x
_atom_site_fract_y
_atom_site_fract_z
_atom_site_occupancy
Nd1 0.0000 0.0000 0.0000 1
Sm1 0.0000 0.0000 0.5000 1
Hg1 0.2500 0.2500 0.2500 1
Ge1 0.2500 0.2500 0.7500 1
```

Properties
Its total energy is -66.70 eV for the cell shown. For the size of the total moment, the calculation gives 0.0 μB/cell. The calculation puts the formation energy at -2.27 eV per formula unit.


(3)
A relaxed structure of CsNa2ScCl6, computed with PBE-GGA.

```
data_CsNa2ScCl6
_chemical_formula_sum 'Cs3 Na6 Sc3 Cl18'
_symmetry_space_group_name_H-M 'R 3'
_symmetry_Int_Tables_number 146
_symmetry_space_group_name_Hall 'R 3'
_cell_length_a 7.1862
_cell_length_b 7.1862
_cell_length_c 19.8129
_cell_angle_alpha 90.00
_cell_angle_beta 90.00
_cell_angle_gamma 120.00
loop_
_atom_site_label
_atom_site_fract_x
_atom_site_fract_y
_atom_site_fract_z
_atom_site_occupancy
Cs1 0.0000 0.0000 0.0000 1
Na1 0.0000 0.0000 0.2674 1
Na2 0.0000 0.0000 0.7913 1
Sc1 0.0000 0.0000 0.4605 1
Cl1 0.0273 0.5683 0.0455 1
Cl2 0.0438 0.3637 0.1957 1
```

Properties
The value obtained for the energy relative to the elements, uncorrected is -1.97 eV per atom. Its total energy is -121.70 eV for the cell shown. For the size of the total moment, the calculation gives 0.0 μB/cell.